! BaY3Bi | Alexandria | PBEsol | relaxed; values from VASP
! Theoretical density = 5.9 g cm⁻³
! Energy relative to the elements = 875 meV per atom
! Size of the total moment = 0.00 Bohr magnetons per cell
! Final energy = -4.505 eV/atom
! DOS(E_F) = 4.1 states/eV per cell
&SYSTEM
  ibrav = 0, nat = 5, ntyp = 3
/
ATOMIC_SPECIES
Y 88.91 Y.upf
Bi 208.98 Bi.upf
Ba 137.33 Ba.upf
ATOMIC_POSITIONS angstrom
Y 0.6894 -2.5683 -0.8028
Y 0.3554 -0.7346 2.6552
Y -2.6673 -0.7617 0.1463
Bi -1.6225 -4.0646 1.9987
Ba 0.0000 0.0000 0.0000
CELL_PARAMETERS angstrom
-5.3346 -1.5234 0.2925
1.3788 -5.1367 -1.6056
0.7107 -1.4692 5.3105